Compound: TaMn2Be
Source: the Alexandria database
Functional: PBE-GGA
Structure: optimized geometry

Cell lengths 2.581, 3.966, 4.870 Å; angles 90.00, 99.52, 90.00 degrees
Space group P2/m (No. 10)
Symmetry-distinct sites (fractional):
Ta (0.000, 0.000, 0.000) [1 per cell]
Mn (0.221, 0.500, 0.717) [2 per cell]
Be (0.500, 0.000, 0.500) [1 per cell]

Calculated values
Final energy ... -33.46 eV per cell
Crystal system ... monoclinic

=====

Compound: Te2Pd4I5
Source: the Alexandria database
Functional: PBE-GGA
Structure: optimized geometry

Cell lengths 23.026, 4.090, 7.365 Å; angles 90.00, 98.60, 90.00 degrees
Space group C2/m (No. 12)
Symmetry-distinct sites (fractional):
Te (0.232, 0.000, 0.118) [4 per cell]
Pd (0.035, 0.500, 0.271) [4 per cell]
Pd (0.119, 0.000, 0.167) [4 per cell]
I (0.000, 0.000, 0.500) [2 per cell]
I (0.076, 0.500, 0.924) [4 per cell]
I (0.151, 0.500, 0.434) [4 per cell]

Calculated values
Formation energy (no corrections) ... -0.05 eV/atom
Crystal system ... monoclinic

=====

Compound: SrLa2Pt
Source: the Alexandria database
Functional: PBE-GGA
Structure: optimized geometry

Cell lengths 3.839, 5.466, 13.080 Å; angles 90.00, 90.00, 90.00 degrees
Space group Imm2 (No. 44)
Symmetry-distinct sites (fractional):
Sr (0.000, 0.000, 0.000) [2 per cell]
La (0.000, 0.000, 0.644) [2 per cell]
La (0.000, 0.500, 0.814) [2 per cell]
Pt (0.000, 0.500, 0.306) [2 per cell]

Calculated values
Crystal system ... orthorhombic
Energy above the most stable polymorph in this dataset ... 149 meV per atom

=====

Compound: TbAl3Zn
Source: the Alexandria database
Functional: PBE-GGA
Structure: optimized geometry

Cell lengths 5.879, 5.872, 6.269 Å; angles 90.00, 117.74, 90.00 degrees
Space group Cm (No. 8)
Symmetry-distinct sites (fractional):
Tb (0.000, 0.000, 0.000) [2 per cell]
Al (0.392, 0.000, 0.785) [2 per cell]
Al (0.495, 0.251, 0.490) [4 per cell]
Zn (0.110, 0.500, 0.220) [2 per cell]

Calculated values
Final energy ... -37.74 eV per cell
Crystal system ... monoclinic